Run P
The following is a meta-GGA SCAN calculation of KZrAu2 at its PBEsol-relaxed geometry, from Alexandria.

```
KZrAu2
1.0
-2.392 0.181 -1.587
-1.812 -4.587 2.207
-2.392 2.835 3.929
K Zr Au
1 1 2
Cartesian
-1.196 0.091 -0.794 K
-3.298 -0.785 2.275 Zr
-0.906 -2.293 1.104 Au
-1.196 1.418 1.964 Au
```

Calculated values
Density of states at the Fermi level (states/eV/f.u.): 2.00
Symmetry: P4/mmm
Total magnetic moment (μB/atom): 0.00

=====

Run Q
The following is a meta-GGA SCAN calculation of KZrAu2 at its PBEsol-relaxed geometry, from Alexandria.

```
KZrAu2
1.0
4.937 0.000 0.000
2.469 4.276 0.000
2.469 1.425 4.031
Zr K Au
1 1 2
Cartesian
0.000 0.000 0.000 Zr
4.937 2.850 2.016 K
7.406 4.276 3.023 Au
2.469 1.425 1.008 Au
```

Calculated values
Density of states at the Fermi level (states/eV/f.u.): 2.80
Symmetry: Fm-3m
Total magnetic moment (μB/atom): 0.00

=====

Short version: run Q is the least stable of them.

=====

Run P
The following is a meta-GGA SCAN calculation of La2Au3 at its PBEsol-relaxed geometry, from Alexandria.

```
La2Au3
1.0
5.902 0.000 0.000
2.951 5.170 0.000
-2.951 0.000 7.817
Au La
6 4
Cartesian
1.351 2.585 3.908 Au
5.167 3.286 5.805 Au
0.740 0.701 5.920 Au
5.167 1.884 2.012 Au
5.777 0.000 0.000 Au
6.642 4.468 1.897 Au
2.273 1.784 0.809 La
3.749 0.801 4.718 La
2.273 3.385 7.008 La
3.749 4.369 3.099 La
```

Calculated values
Density of states at the Fermi level (states/eV/f.u.): 4.11
Symmetry: Fdd2
Total magnetic moment (μB/atom): 0.00

=====

Run Q
The following is a meta-GGA SCAN calculation of La2Au3 at its PBEsol-relaxed geometry, from Alexandria.

```
La2Au3
1.0
3.792 0.000 0.000
0.000 3.792 0.000
-1.896 -1.896 8.335
Au La
3 2
Cartesian
0.000 0.000 4.933 Au
1.896 1.896 3.403 Au
1.896 1.896 0.000 Au
1.896 1.896 6.481 La
0.000 0.000 1.854 La
```

Calculated values
Density of states at the Fermi level (states/eV/f.u.): 2.48
Symmetry: I4/mmm
Total magnetic moment (μB/atom): 0.00

=====

Run R
The following is a meta-GGA SCAN calculation of La2Au3 at its PBEsol-relaxed geometry, from Alexandria.

```
La2Au3
1.0
-0.160 3.032 4.045
2.584 -1.215 4.174
5.014 3.267 0.911
La Au
2 3
Cartesian
1.578 1.093 2.405 La
5.860 3.991 6.725 La
3.532 2.518 7.738 Au
3.719 2.542 4.565 Au
3.907 2.566 1.393 Au
```

Calculated values
Density of states at the Fermi level (states/eV/f.u.): 3.02
Symmetry: R-3m
Total magnetic moment (μB/atom): 0.00

=====

Short version: run R is the least stable of them.

=====

Run P
The following is a meta-GGA SCAN calculation of La2Au3 at its PBEsol-relaxed geometry, from Alexandria.

```
La2Au3
1.0
-2.301 0.714 -4.043
-1.630 -3.667 -2.459
-7.001 -0.664 1.128
Au La
3 2
Cartesian
-5.466 -1.809 -2.687 Au
-2.649 -1.967 -4.318 Au
-8.283 -1.650 -1.055 Au
-5.518 -0.748 0.269 La
-5.414 -2.870 -5.643 La
```

Calculated values
Density of states at the Fermi level (states/eV/f.u.): 4.16
Symmetry: R-3m
Total magnetic moment (μB/atom): 0.00

=====

Run Q
The following is a meta-GGA SCAN calculation of La2Au3 at its PBEsol-relaxed geometry, from Alexandria.

```
La2Au3
1.0
3.784 0.000 0.000
0.000 3.784 0.000
-1.892 -1.892 8.003
La Au
2 3
Cartesian
0.000 0.000 5.060 La
1.892 1.892 2.943 La
1.892 1.892 6.599 Au
1.892 1.892 0.000 Au
0.000 0.000 1.405 Au
```

Calculated values
Density of states at the Fermi level (states/eV/f.u.): 2.52
Symmetry: I4/mmm
Total magnetic moment (μB/atom): 0.00

=====

Short version: run Q is the least stable of them.